## Fe2SiB (PBE)

Data for Fe2SiB after structural relaxation.

## Properties
Total magnetic moment, μB per formula unit: 2.67
Formation energy from raw total energies, meV per atom: 71
Energy above the most stable polymorph in this dataset, eV/atom: 0.3065
DOS(E_F), states/eV/cell: 9.12

a = 6.170 Å, b = 6.170 Å, c = 4.443 Å
α = 90.00°, β = 90.00°, γ = 90.00°
Space group I-42d (No. 122)
Asymmetric unit:
Fe (0.167, 0.250, 0.125) (multiplicity 8)
Si (0.000, 0.000, 0.500) (multiplicity 4)
B (0.000, 0.000, 0.000) (multiplicity 4)